(1)
First-principles (GGA-PBEsol) data for an optimized crystal structure of KCoTe2N, as listed in the Alexandria database.

Values from the calculation:
Energy relative to the elements, uncorrected: -38 meV per atom

abc: 5.6429 5.6429 3.3703
angles: 90.00 90.00 90.00
Last column: nearest neighbours and their distance in Å.
Element x y z (fractional)
K 0.0000 0.0000 0.0000  8 Te 3.29, 2 K 3.37
Co 0.5000 0.5000 0.5000  2 N 1.69
Te 0.0000 0.5000 0.5000  2 Co 2.82
Te 0.5000 0.0000 0.5000  2 Co 2.82
N 0.5000 0.5000 0.0000  2 Co 1.69


(2)
First-principles (GGA-PBEsol) data for an optimized crystal structure of LiFeSi2, as listed in the Alexandria database.

Values from the calculation:
Energy above the most stable polymorph in this dataset: 158 meV/atom
Energy relative to the elements, uncorrected: -178 meV per atom

abc: 3.0788 3.0788 4.8579
angles: 90.00 90.00 90.00
Last column: nearest neighbours and their distance in Å.
Element x y z (fractional)
Li 0.0000 0.0000 0.0000  6 Si 2.32-2.54, 4 Fe 2.56
Fe 0.5000 0.5000 0.7225  6 Si 2.37-2.49, 4 Li 2.56
Si 0.0000 0.0000 0.5231  2 Li 2.32-2.54, 4 Fe 2.38, 4 Si 2.59
Si 0.5000 0.5000 0.2355  2 Fe 2.37-2.49, 4 Li 2.46, 4 Si 2.59


(3)
First-principles (GGA-PBEsol) data for an optimized crystal structure of MnAg2Mo, as listed in the Alexandria database.

Values from the calculation:
Energy above the most stable polymorph in this dataset: 0 meV/atom
ΔE_f: 319 meV per atom

abc: 2.6959 2.6959 8.7260
angles: 90.00 90.00 107.33
Last column: nearest neighbours and their distance in Å.
Element x y z (fractional)
Mn 0.0000 0.0000 0.0000  2 Mo 2.46, 2 Ag 2.69, 4 Mn 2.70
Ag 0.0000 0.0000 0.5151  6 Ag 2.70-2.83, 2 Mo 2.85
Ag 0.5000 0.5000 0.2479  2 Mn 2.69, 6 Ag 2.70-2.83
Mo 0.5000 0.5000 0.7856  2 Mn 2.46, 4 Mo 2.70


(4)
First-principles (GGA-PBEsol) data for an optimized crystal structure of CaSc2O4, as listed in the Alexandria database.

Values from the calculation:
Energy relative to the elements, uncorrected: -3447 meV per atom

abc: 9.3866 3.1294 11.0568
angles: 90.00 90.00 90.00
Last column: nearest neighbours and their distance in Å.
Element x y z (fractional)
Ca 0.2448 0.2500 0.1528  8 O 2.40-2.63
Ca 0.2552 0.7500 0.6528  8 O 2.40-2.63
Ca 0.7448 0.2500 0.3472  8 O 2.40-2.63
Ca 0.7552 0.7500 0.8472  8 O 2.40-2.63
Sc 0.0716 0.2500 0.3881  6 O 2.08-2.15
Sc 0.0796 0.2500 0.8927  6 O 2.05-2.17
Sc 0.4204 0.7500 0.3927  6 O 2.05-2.17
Sc 0.4284 0.7500 0.8881  6 O 2.08-2.15
Sc 0.5716 0.2500 0.1119  6 O 2.08-2.15
Sc 0.5796 0.2500 0.6073  6 O 2.05-2.17
Sc 0.9204 0.7500 0.1073  6 O 2.05-2.17
Sc 0.9284 0.7500 0.6119  6 O 2.08-2.15
O 0.0211 0.7500 0.7839  3 Sc 2.05-2.09
O 0.0795 0.2500 0.5763  3 Sc 2.08-2.15
O 0.1247 0.7500 0.0237  3 Sc 2.13-2.17
O 0.2082 0.7500 0.3271  3 Sc 2.12-2.13
O 0.2918 0.2500 0.8271  3 Sc 2.12-2.13
O 0.3753 0.2500 0.5237  3 Sc 2.13-2.17
O 0.4205 0.7500 0.0763  3 Sc 2.08-2.15
O 0.4789 0.2500 0.2839  3 Sc 2.05-2.09
O 0.5211 0.7500 0.7161  3 Sc 2.05-2.09
O 0.5795 0.2500 0.9237  3 Sc 2.08-2.15
O 0.6247 0.7500 0.4763  3 Sc 2.13-2.17
O 0.7082 0.7500 0.1729  3 Sc 2.12-2.13
O 0.7918 0.2500 0.6729  3 Sc 2.12-2.13
O 0.8753 0.2500 0.9763  3 Sc 2.13-2.17
O 0.9205 0.7500 0.4237  3 Sc 2.08-2.15
O 0.9789 0.2500 0.2161  3 Sc 2.05-2.09


(5)
First-principles (GGA-PBEsol) data for an optimized crystal structure of BaLi2AlS, as listed in the Alexandria database.

Values from the calculation:
Energy relative to the elements, uncorrected: -307 meV per atom

abc: 4.7982 4.7982 5.5800
angles: 90.00 90.00 90.00
Last column: nearest neighbours and their distance in Å.
Element x y z (fractional)
Ba 0.0000 0.0000 0.0000  4 Al 3.39, 8 Li 3.68
Li 0.0000 0.5000 0.5000  2 S 2.40
Li 0.5000 0.0000 0.5000  2 S 2.40
Al 0.5000 0.5000 0.0000  2 S 2.79
S 0.5000 0.5000 0.5000  4 Li 2.40


(6)
First-principles (GGA-PBEsol) data for an optimized crystal structure of Hf3TiCd, as listed in the Alexandria database.

Values from the calculation:
ΔE_f: 1440 meV per atom

abc: 5.0830 5.0830 5.0830
angles: 90.00 90.00 90.00
Last column: nearest neighbours and their distance in Å.
Element x y z (fractional)
Hf 0.0000 0.0000 0.5000  2 Cd 2.54
Hf 0.0000 0.5000 0.0000  2 Cd 2.54
Hf 0.5000 0.0000 0.0000  2 Cd 2.54
Ti 0.5000 0.5000 0.5000  12 Hf 3.59
Cd 0.0000 0.0000 0.0000  6 Hf 2.54


(7)
First-principles (GGA-PBEsol) data for an optimized crystal structure of Y4MgS7, as listed in the Alexandria database.

Values from the calculation:
Energy relative to the elements, uncorrected: -2015 meV per atom

abc: 6.5006 6.5006 11.3327
angles: 104.59 104.59 33.66
Last column: nearest neighbours and their distance in Å.
Element x y z (fractional)
Y 0.0000 0.0000 0.0000  6 S 2.68-2.86
Y 0.3857 0.3857 0.5954  7 S 2.67-2.96
Y 0.5791 0.5791 0.3630  6 S 2.64-2.74
Y 0.6931 0.6931 0.8010  6 S 2.63-2.71
Mg 0.8084 0.8084 0.2177  6 S 2.52-2.64
S 0.0320 0.0320 0.7436  4 Y 2.70-2.84
S 0.1978 0.1978 0.2927  2 Mg 2.60, 2 Y 2.64
S 0.3549 0.3549 0.8456  5 Y 2.71-2.96
S 0.4247 0.4247 0.1467  2 Mg 2.63, 3 Y 2.69-2.83
S 0.6574 0.6574 0.0194  1 Mg 2.52, 3 Y 2.63-2.68
S 0.7300 0.7300 0.5803  4 Y 2.66-2.68
S 0.9503 0.9503 0.4366  1 Mg 2.64, 4 Y 2.74-2.86


(8)
First-principles (GGA-PBEsol) data for an optimized crystal structure of RhW2Se, as listed in the Alexandria database.

Values from the calculation:
Energy relative to the elements, uncorrected: 496 meV per atom

abc: 5.0970 5.0970 5.0970
angles: 136.68 136.68 62.93
Last column: nearest neighbours and their distance in Å.
Element x y z (fractional)
Rh 0.0000 0.0000 0.0000  4 Se 2.66, 8 W 2.87
W 0.2500 0.7500 0.5000  4 W 2.66, 4 Se 2.87, 4 Rh 2.87
W 0.7500 0.2500 0.5000  4 W 2.66, 4 Se 2.87, 4 Rh 2.87
Se 0.5000 0.5000 0.0000  4 Rh 2.66, 8 W 2.87


(9)
First-principles (GGA-PBEsol) data for an optimized crystal structure of NiPt4, as listed in the Alexandria database.

Values from the calculation:
ΔE_f: -28 meV per atom

abc: 4.7040 4.7040 4.7040
angles: 99.66 99.66 131.64
Last column: nearest neighbours and their distance in Å.
Element x y z (fractional)
Ni 0.0000 0.0000 0.0000  12 Pt 2.70-2.72
Pt 0.2021 0.6043 0.8063  9 Pt 2.68-2.76, 3 Ni 2.70-2.72
Pt 0.3957 0.2021 0.5978  9 Pt 2.68-2.76, 3 Ni 2.70-2.72
Pt 0.6043 0.7979 0.4022  9 Pt 2.68-2.76, 3 Ni 2.70-2.72
Pt 0.7979 0.3957 0.1937  9 Pt 2.68-2.76, 3 Ni 2.70-2.72


(10)
First-principles (GGA-PBEsol) data for an optimized crystal structure of FeMo2, as listed in the Alexandria database.

Values from the calculation:
ΔE_f: 139 meV per atom

abc: 6.0895 6.0895 6.0895
angles: 154.90 154.90 35.79
Last column: nearest neighbours and their distance in Å.
Element x y z (fractional)
Fe 0.0000 0.0000 0.0000  8 Mo 2.57, 4 Fe 2.65
Mo 0.3483 0.3483 0.0000  4 Fe 2.57, 4 Mo 2.65
Mo 0.6517 0.6517 0.0000  4 Fe 2.57, 4 Mo 2.65


(11)
First-principles (GGA-PBEsol) data for an optimized crystal structure of Nd3Cu4P4O2, as listed in the Alexandria database.

Values from the calculation:
Energy relative to the elements, uncorrected: -1399 meV per atom

abc: 13.3904 13.3904 13.3904
angles: 163.08 163.08 24.02
Last column: nearest neighbours and their distance in Å.
Element x y z (fractional)
Nd 0.0000 0.0000 0.0000  8 P 3.00, 8 Cu 3.15
Nd 0.2959 0.2959 0.0000  4 O 2.31
Nd 0.7041 0.7041 0.0000  4 O 2.31
Cu 0.0940 0.5940 0.5000  4 P 2.32-2.39
Cu 0.4060 0.9060 0.5000  4 P 2.32-2.39
Cu 0.5940 0.0940 0.5000  4 P 2.32-2.39
Cu 0.9060 0.4060 0.5000  4 P 2.32-2.39
P 0.1411 0.1411 0.0000  4 Cu 2.32
P 0.4574 0.4574 0.0000  1 P 2.23, 4 Cu 2.39
P 0.5426 0.5426 0.0000  1 P 2.23, 4 Cu 2.39
P 0.8589 0.8589 0.0000  4 Cu 2.32
O 0.2500 0.7500 0.5000  4 Nd 2.31
O 0.7500 0.2500 0.5000  4 Nd 2.31


(12)
First-principles (GGA-PBEsol) data for an optimized crystal structure of AlReRu2, as listed in the Alexandria database.

Values from the calculation:
ΔE_f: -311 meV per atom

abc: 2.8540 2.8540 6.6330
angles: 90.00 90.00 90.00
Last column: nearest neighbours and their distance in Å.
Element x y z (fractional)
Al 0.0000 0.0000 0.0000  8 Ru 2.56, 4 Al 2.85
Re 0.0000 0.0000 0.5000  8 Ru 2.66, 4 Re 2.85
Ru 0.5000 0.5000 0.2386  4 Al 2.56, 4 Re 2.66, 4 Ru 2.85
Ru 0.5000 0.5000 0.7614  4 Al 2.56, 4 Re 2.66, 4 Ru 2.85


(13)
First-principles (GGA-PBEsol) data for an optimized crystal structure of CaCuNi4, as listed in the Alexandria database.

Values from the calculation:
ΔE_f: -9 meV per atom

abc: 4.7765 4.7765 4.7765
angles: 60.00 60.00 60.00
Last column: nearest neighbours and their distance in Å.
Element x y z (fractional)
Ca 0.0000 0.0000 0.0000  12 Ni 2.80, 4 Cu 2.93
Cu 0.7500 0.7500 0.7500  12 Ni 2.80, 4 Ca 2.93
Ni 0.3758 0.3758 0.3758  6 Ni 2.37-2.40
Ni 0.3758 0.3758 0.8726  6 Ni 2.37-2.40
Ni 0.3758 0.8726 0.3758  6 Ni 2.37-2.40
Ni 0.8726 0.3758 0.3758  6 Ni 2.37-2.40


(14)
First-principles (GGA-PBEsol) data for an optimized crystal structure of In2RuW, as listed in the Alexandria database.

Values from the calculation:
Energy above the most stable polymorph in this dataset: 74 meV/atom
ΔE_f: 566 meV per atom

abc: 3.0140 4.6518 4.9493
angles: 90.00 90.00 90.00
Last column: nearest neighbours and their distance in Å.
Element x y z (fractional)
In 0.0000 0.0000 0.0000  4 W 2.77, 6 In 2.90-3.01
In 0.5000 0.0000 0.5000  4 Ru 2.77, 6 In 2.90-3.01
Ru 0.0000 0.5000 0.5000  4 In 2.77, 4 W 2.90, 2 Ru 3.01
W 0.5000 0.5000 0.0000  4 In 2.77, 4 Ru 2.90, 2 W 3.01